# 1
RbBaBeIr2 | PBE-GGA | relaxed

Cell: 4.532 4.532 5.312 Å, 90.00 90.00 90.00°
Atoms (fractional coordinates):
Rb: 0.000 0.000 0.000
Ba: 0.500 0.500 0.000
Be: 0.000 0.000 0.500
Ir: 0.000 0.500 0.500
Ir: 0.500 0.000 0.500

Calculated values
DFT formation energy in eV/atom: 0.488

# 2
LaSc3N | PBE-GGA | relaxed

Cell: 4.676 4.676 4.676 Å, 90.00 90.00 90.00°
Atoms (fractional coordinates):
La: 0.000 0.000 0.000
Sc: 0.000 0.500 0.500
Sc: 0.500 0.000 0.500
Sc: 0.500 0.500 0.000
N: 0.500 0.500 0.500

Calculated values
Energy above the lowest structure with this stoichiometry in eV per formula unit: 0.00
E_form (uncorrected) in eV per atom: -0.46

# 3
KSi23 | PBE-GGA | relaxed

Cell: 10.257 10.257 10.257 Å, 90.00 90.00 90.00°
Atoms (fractional coordinates):
K: 0.000 0.000 0.000
K: 0.500 0.500 0.500
Si: 0.000 0.117 0.309
Si: 0.000 0.117 0.691
Si: 0.000 0.250 0.500
Si: 0.000 0.750 0.500
Si: 0.000 0.883 0.309
Si: 0.000 0.883 0.691
Si: 0.117 0.309 0.000
Si: 0.117 0.691 0.000
Si: 0.184 0.184 0.184
Si: 0.184 0.184 0.816
Si: 0.184 0.816 0.184
Si: 0.184 0.816 0.816
Si: 0.191 0.383 0.500
Si: 0.191 0.617 0.500
Si: 0.250 0.500 0.000
Si: 0.309 0.000 0.117
Si: 0.309 0.000 0.883
Si: 0.316 0.316 0.316
Si: 0.316 0.316 0.684
Si: 0.316 0.684 0.316
Si: 0.316 0.684 0.684
Si: 0.383 0.500 0.191
Si: 0.383 0.500 0.809
Si: 0.500 0.000 0.250
Si: 0.500 0.000 0.750
Si: 0.500 0.191 0.383
Si: 0.500 0.191 0.617
Si: 0.500 0.809 0.383
Si: 0.500 0.809 0.617
Si: 0.617 0.500 0.191
Si: 0.617 0.500 0.809
Si: 0.684 0.316 0.316
Si: 0.684 0.316 0.684
Si: 0.684 0.684 0.316
Si: 0.684 0.684 0.684
Si: 0.691 0.000 0.117
Si: 0.691 0.000 0.883
Si: 0.750 0.500 0.000
Si: 0.809 0.383 0.500
Si: 0.809 0.617 0.500
Si: 0.816 0.184 0.184
Si: 0.816 0.184 0.816
Si: 0.816 0.816 0.184
Si: 0.816 0.816 0.816
Si: 0.883 0.309 0.000
Si: 0.883 0.691 0.000

Calculated values
E_form (uncorrected) in eV per atom: 0.05

Number 1: energy -21.90 eV/f.u.. Number 2: energy -34.56 eV/f.u.. Number 3: energy -124.54 eV/f.u..